# 1
NdGd2Cu: relaxed, PBE-GGA.

CIF file:
```
data_NdGd2Cu
_chemical_formula_sum 'Nd3 Gd6 Cu3'
_space_group_name_H-M_alt 'R -3 m'
_space_group_IT_number 166
_space_group_name_Hall '-R 3 2"'
_cell_length_a 3.6748
_cell_length_b 3.6748
_cell_length_c 29.9967
_cell_angle_alpha 90.00
_cell_angle_beta 90.00
_cell_angle_gamma 120.00
loop_
_atom_site_label
_atom_site_type_symbol
_atom_site_fract_x
_atom_site_fract_y
_atom_site_fract_z
Nd1 Nd 0.0000 0.0000 0.0000
Gd1 Gd 0.0000 0.0000 0.2332
Cu1 Cu 0.0000 0.0000 0.5000
```

Results
The density of states at the Fermi level comes out at 4.85 states/eV/f.u. The calculated total energy is -36.9 eV per formula unit. The energy above the most stable polymorph in this dataset comes out at 116.9 meV/atom. The total moment is 15.14 μB/f.u. For the formation energy, the calculation gives 0.03 eV/atom.

=====

# 2
Nd2GdCu: relaxed, PBE-GGA.

CIF file:
```
data_Nd2GdCu
_chemical_formula_sum 'Nd2 Gd1 Cu1'
_space_group_name_H-M_alt 'P 4/m m m'
_space_group_IT_number 123
_space_group_name_Hall '-P 4 2'
_cell_length_a 3.622
_cell_length_b 3.622
_cell_length_c 8.728
_cell_angle_alpha 90.00
_cell_angle_beta 90.00
_cell_angle_gamma 90.00
loop_
_atom_site_label
_atom_site_type_symbol
_atom_site_fract_x
_atom_site_fract_y
_atom_site_fract_z
Nd1 Nd 0.000 0.000 0.201
Gd1 Gd 0.500 0.500 0.500
Cu1 Cu 0.500 0.500 0.000
```

Results
The density of states at the Fermi level comes out at 5.78 states/eV/f.u. The calculated total energy is -27.9 eV per formula unit. The energy above the most stable polymorph in this dataset comes out at 0.0 meV/atom. The total moment is 7.78 μB/f.u. For the formation energy, the calculation gives -0.05 eV/atom.

=====

# 3
NdGdCu: relaxed, PBE-GGA.

CIF file:
```
data_NdGdCu
_chemical_formula_sum 'Nd1 Gd1 Cu1'
_space_group_name_H-M_alt 'P 3 m 1'
_space_group_IT_number 156
_cell_length_a 3.6738
_cell_length_b 3.6738
_cell_length_c 7.1179
_cell_angle_alpha 90.00
_cell_angle_beta 90.00
_cell_angle_gamma 120.00
loop_
_space_group_symop_operation_xyz
'x,y,z'
'-y,x-y,z'
'-x+y,-x,z'
'-y,-x,z'
'-x+y,y,z'
'x,x-y,z'
loop_
_atom_site_label
_atom_site_type_symbol
_atom_site_fract_x
_atom_site_fract_y
_atom_site_fract_z
Nd1 Nd 0.0000 0.0000 0.0000
Gd1 Gd 0.3333 0.6667 0.5749
Cu1 Cu 0.6667 0.3333 0.2947
```

Results
The density of states at the Fermi level comes out at 3.19 states/eV/f.u. The calculated total energy is -22.8 eV per formula unit. The energy above the most stable polymorph in this dataset comes out at 153.1 meV/atom. The total moment is 7.33 μB/f.u. For the formation energy, the calculation gives 0.06 eV/atom.

=====

# 4
Nd2GdCu: relaxed, PBE-GGA.

CIF file:
```
data_Nd2GdCu
_chemical_formula_sum 'Nd6 Gd3 Cu3'
_space_group_name_H-M_alt 'R -3 m'
_space_group_IT_number 166
_space_group_name_Hall '-R 3 2"'
_cell_length_a 3.5458
_cell_length_b 3.5458
_cell_length_c 33.3058
_cell_angle_alpha 90.00
_cell_angle_beta 90.00
_cell_angle_gamma 120.00
loop_
_atom_site_label
_atom_site_type_symbol
_atom_site_fract_x
_atom_site_fract_y
_atom_site_fract_z
Nd1 Nd 0.0000 0.0000 0.1027
Gd1 Gd 0.0000 0.0000 0.0000
Cu1 Cu 0.0000 0.0000 0.5000
```

Results
The density of states at the Fermi level comes out at 6.82 states/eV/f.u. The calculated total energy is -26.8 eV per formula unit. The energy above the most stable polymorph in this dataset comes out at 282.1 meV/atom. The total moment is 8.07 μB/f.u. For the formation energy, the calculation gives 0.24 eV/atom.

=====

# 5
Nd2GdCu: relaxed, PBE-GGA.

CIF file:
```
data_Nd2GdCu
_chemical_formula_sum 'Nd2 Gd1 Cu1'
_space_group_name_H-M_alt 'P 4/m m m'
_space_group_IT_number 123
_space_group_name_Hall '-P 4 2'
_cell_length_a 5.485
_cell_length_b 5.485
_cell_length_c 3.713
_cell_angle_alpha 90.00
_cell_angle_beta 90.00
_cell_angle_gamma 90.00
loop_
_atom_site_label
_atom_site_type_symbol
_atom_site_fract_x
_atom_site_fract_y
_atom_site_fract_z
Nd1 Nd 0.000 0.500 0.000
Gd1 Gd 0.000 0.000 0.500
Cu1 Cu 0.500 0.500 0.500
```

Results
The density of states at the Fermi level comes out at 4.58 states/eV/f.u. The calculated total energy is -27.2 eV per formula unit. The energy above the most stable polymorph in this dataset comes out at 160.9 meV/atom. The total moment is 7.08 μB/f.u. For the formation energy, the calculation gives 0.12 eV/atom.

=====

# 6
NdGd2Cu: relaxed, PBE-GGA.

CIF file:
```
data_NdGd2Cu
_chemical_formula_sum 'Nd1 Gd2 Cu1'
_space_group_name_H-M_alt 'P 4/m m m'
_space_group_IT_number 123
_space_group_name_Hall '-P 4 2'
_cell_length_a 3.557
_cell_length_b 3.557
_cell_length_c 8.762
_cell_angle_alpha 90.00
_cell_angle_beta 90.00
_cell_angle_gamma 90.00
loop_
_atom_site_label
_atom_site_type_symbol
_atom_site_fract_x
_atom_site_fract_y
_atom_site_fract_z
Nd1 Nd 0.000 0.000 0.000
Gd1 Gd 0.500 0.500 0.305
Cu1 Cu 0.000 0.000 0.500
```

Results
The density of states at the Fermi level comes out at 5.18 states/eV/f.u. The calculated total energy is -37.4 eV per formula unit. The energy above the most stable polymorph in this dataset comes out at 0.0 meV/atom. The total moment is 14.51 μB/f.u. For the formation energy, the calculation gives -0.09 eV/atom.